Li2Np2CrS6 | GGA-PBE | optimized geometry

Results
final energy = -77.055 eV/cell
formation energy from raw total energies = -1.178 eV/atom

Unit cell a=6.5593 b=6.5593 c=6.4485 alpha=98.91 beta=98.91 gamma=119.64
With the nearest neighbours (Å) after each atom.
Sites, in units of the cell vectors:
1 Li 0.1560 0.8440 0.0000  4 S 2.59-2.60
2 Li 0.8440 0.1560 0.0000  4 S 2.59-2.60
3 Np 0.3347 0.6653 0.5000  6 S 2.67-2.71
4 Np 0.6653 0.3347 0.5000  6 S 2.67-2.71
5 Cr 0.0000 0.0000 0.5000  6 S 2.45-2.55
6 S 0.0697 0.3888 0.7374  1 Cr 2.55, 1 Li 2.59, 2 Np 2.67-2.69
7 S 0.2294 0.2294 0.2644  1 Cr 2.45, 2 Li 2.60, 2 Np 2.71
8 S 0.3888 0.0697 0.7374  1 Cr 2.55, 1 Li 2.59, 2 Np 2.67-2.69
9 S 0.6112 0.9303 0.2626  1 Cr 2.55, 1 Li 2.59, 2 Np 2.67-2.69
10 S 0.7706 0.7706 0.7356  1 Cr 2.45, 2 Li 2.60, 2 Np 2.71
11 S 0.9303 0.6112 0.2626  1 Cr 2.55, 1 Li 2.59, 2 Np 2.67-2.69